# FePdN2O | Alexandria via LeMat-Bulk | PBE+U | optimized geometry
# Volume in Å³ per atom: 11.1
# Density of states at the Fermi level in states/eV per cell: 4.29
# Energy in eV per atom: -5.366
data_FePdN2O
_space_group_name_H-M_alt 'P 1'
_space_group_IT_number 1
_space_group_name_Hall 'P 1'
_cell_length_a 3.825
_cell_length_b 3.825
_cell_length_c 3.776
_cell_angle_alpha 90.00
_cell_angle_beta 90.00
_cell_angle_gamma 90.00
loop_
_atom_site_label
_atom_site_fract_x
_atom_site_fract_y
_atom_site_fract_z
_atom_site_occupancy
Fe1 0.000 0.000 0.000 1
Pd1 0.500 0.500 0.500 1
N1 0.000 0.500 0.000 1
N2 0.500 0.000 0.000 1
O1 0.000 0.000 0.500 1